Nb7Pt2N2 after structural relaxation. Source: the Alexandria database, functional PBE-GGA.

Cell and atoms, written as POSCAR:
```
Nb7Pt2N2
1.0
0.556 5.798 0.782
-2.213 0.469 -5.081
-5.322 -1.859 1.658
N Nb Pt
2 7 2
Direct
0.227 0.035 0.773
0.773 0.965 0.227
0.066 0.764 0.494
0.934 0.236 0.506
0.000 0.000 0.000
0.439 0.211 0.561
0.561 0.789 0.439
0.494 0.236 0.066
0.506 0.764 0.934
0.812 0.500 0.812
0.188 0.500 0.188
```

E_tot   -9.4303 eV per atom
Uncorrected formation energy   -4.5 eV/f.u.
SG   C2/m, No. 12